Ba2ScGe2, relaxed, DFT GGA-PBEsol; crystal system = tetragonal; energy = -20.81 eV/cell; space-group type = I4/mmm; E_form = -0.005 eV per atom
1.0
4.489 0.000 0.000
0.000 4.489 0.000
-2.245 -2.245 7.102
Ge Ba Sc
2 2 1
Cartesian
0.000 0.000 5.926
2.245 2.245 1.176
0.000 2.245 3.551
2.245 0.000 3.551
0.000 0.000 0.000

SrTa2Mo, relaxed, DFT GGA-PBEsol; crystal system = orthorhombic; energy = -34.54 eV/cell; energy above the lowest structure with this stoichiometry = 476.2 meV per atom; space-group type = Cmmm; E_form = 1.042 eV per atom
1.0
2.728 0.000 0.000
0.000 5.745 -0.008
0.000 -2.824 5.004
Mo Sr Ta
1 1 2
Cartesian
1.364 0.000 0.000
1.364 1.461 2.498
0.000 2.873 -0.004
0.000 -1.412 2.502

LiYMo3O8, relaxed, DFT GGA-PBEsol; crystal system = trigonal; energy = -117.03 eV/cell; space-group type = P3m1
1.0
5.162 0.000 0.000
0.000 5.752 0.000
0.000 -2.876 4.981
O Mo Y Li
8 3 1 1
Cartesian
2.739 -1.530 4.204
4.863 0.000 0.000
5.041 1.461 2.477
2.739 0.000 1.554
2.434 2.876 1.660
5.041 4.291 2.477
2.739 1.530 4.204
5.041 2.876 0.027
3.851 2.876 3.122
3.851 4.141 0.930
3.851 1.610 0.930
1.401 0.000 3.321
1.566 0.000 0.000

TlCo2S2, relaxed, DFT GGA-PBEsol; crystal system = tetragonal; energy = -26.92 eV/cell; energy above the lowest structure with this stoichiometry = 403.3 meV per atom; space-group type = I4/mmm
1.0
-3.985 -0.551 0.667
0.568 -4.038 0.058
2.505 2.477 4.542
S Tl Co
2 1 2
Cartesian
-1.595 -0.184 2.786
0.682 -1.928 2.481
0.000 0.000 0.000
0.531 0.121 3.268
-1.443 -2.234 1.999

Q: Which formula does entry 4 have?
A: TlCo2S2